# 1
{"formula": "Cs4Ag3SnBr12", "functional": "PBE", "state": "optimized geometry", "crystal_system": "cubic", "raw_formation_energy_ev_per_atom": -1.02, "cell": [[-6.772, -0.103, -6.902], [3.357, -8.967, 1.357], [-3.847, 3.283, 8.242]], "species": ["Cs", "Cs", "Cs", "Cs", "Ag", "Ag", "Ag", "Br", "Br", "Br", "Br", "Br", "Br", "Br", "Br", "Br", "Br", "Br", "Br", "Sn"], "frac_coords": [[0.000, 0.500, 0.000], [0.000, 0.000, 0.500], [0.500, 0.500, 0.500], [0.500, 0.000, 0.000], [0.000, 0.500, 0.500], [0.500, 0.000, 0.500], [0.500, 0.500, 0.000], [0.250, 0.750, 0.500], [0.500, 0.250, 0.750], [0.238, 0.000, 0.238], [0.762, 0.000, 0.762], [0.750, 0.500, 0.250], [0.500, 0.750, 0.250], [0.750, 0.250, 0.500], [0.238, 0.238, 0.000], [0.000, 0.238, 0.238], [0.000, 0.762, 0.762], [0.762, 0.762, 0.000], [0.250, 0.500, 0.750], [0.000, 0.000, 0.000]]}


# 2
{"formula": "Pm2ThCd", "functional": "PBE", "state": "optimized geometry", "dft_energy_ev_per_atom": -4.625, "crystal_system": "tetragonal", "cell": [[3.656, 0.000, 0.000], [0.000, 3.656, 0.000], [0.000, 0.000, 9.075]], "species": ["Cd", "Pm", "Pm", "Th"], "frac_coords": [[0.500, 0.500, 0.000], [0.000, 0.000, 0.234], [0.000, 0.000, 0.766], [0.500, 0.500, 0.500]]}


# 3
{"formula": "CoPbBr2", "functional": "PBE", "state": "optimized geometry", "crystal_system": "tetragonal", "raw_formation_energy_ev_per_atom": -0.08, "cell": [[-0.541, 3.947, 8.238], [-8.816, 1.936, -1.506], [-5.365, 0.641, 4.423]], "species": ["Br", "Br", "Br", "Br", "Pb", "Pb", "Co", "Co"], "frac_coords": [[0.875, 0.728, 0.750], [0.375, 0.522, 0.750], [0.478, 0.125, 0.250], [0.272, 0.625, 0.250], [0.750, 0.250, 0.500], [0.000, 0.000, 0.000], [0.500, 0.500, 0.000], [0.250, 0.750, 0.500]]}


Volume / Å³ per cell: 696.1; 121.3; 219.7